Computed, not measured: a relaxed structure of LiNiP2O7 at the PBE+U level of DFT.

Values from the calculation:
SG	P-1, No. 2
VASP energy	-6.4004	eV per atom

abc: 6.131 7.224 7.276
angles: 73.49 79.35 65.80
Positions (direct):
Li (0.071, 0.336, 0.161)
Li (0.929, 0.664, 0.839)
Ni (0.332, 0.589, 0.323)
Ni (0.668, 0.411, 0.677)
P (0.220, 0.268, 0.710)
P (0.369, 0.807, 0.858)
P (0.631, 0.193, 0.142)
P (0.780, 0.732, 0.290)
O (0.019, 0.289, 0.600)
O (0.128, 0.350, 0.890)
O (0.159, 0.798, 0.782)
O (0.322, 0.799, 0.074)
O (0.387, 0.352, 0.199)
O (0.390, 0.376, 0.585)
O (0.399, 0.026, 0.757)
O (0.601, 0.974, 0.243)
O (0.610, 0.624, 0.415)
O (0.613, 0.648, 0.801)
O (0.678, 0.201, 0.926)
O (0.841, 0.202, 0.218)
O (0.872, 0.650, 0.110)
O (0.981, 0.711, 0.400)